No. 1
# DyPPd6

An optimized crystal structure of DyPPd6 (PBE-GGA, Alexandria via LeMat-Bulk).

a = 5.605 Å, b = 5.605 Å, c = 6.479 Å
α = 64.37°, β = 64.37°, γ = 60.00°
Fractional positions:
Dy: 0.500 0.500 0.500
P: 0.000 0.000 0.000
Pd: 0.914 0.914 0.738
Pd: 0.434 0.914 0.738
Pd: 0.086 0.566 0.262
Pd: 0.566 0.086 0.262
Pd: 0.086 0.086 0.262
Pd: 0.914 0.434 0.738

## Properties
Its crystal system is trigonal. As for the mass density: 9.0 Mg/m³. The value obtained for the energy of formation from the pure elements is -44 kJ per mole of atoms. For the total magnetic moment, the calculation gives 0.00 μB per formula unit.

---

No. 2
# DyP3Pd3

An optimized crystal structure of DyP3Pd3 (PBE-GGA, Alexandria via LeMat-Bulk).

a = 6.528 Å, b = 6.528 Å, c = 6.528 Å
α = 90.00°, β = 90.00°, γ = 90.00°
Fractional positions:
P: 0.250 0.000 0.500
P: 0.000 0.500 0.250
P: 0.500 0.750 0.000
P: 0.750 0.000 0.500
P: 0.000 0.500 0.750
P: 0.500 0.250 0.000
Pd: 0.000 0.250 0.500
Pd: 0.000 0.750 0.500
Pd: 0.500 0.000 0.750
Pd: 0.750 0.500 0.000
Pd: 0.500 0.000 0.250
Pd: 0.250 0.500 0.000
Dy: 0.500 0.500 0.500
Dy: 0.000 0.000 0.000

## Properties
Its crystal system is cubic. As for the mass density: 6.9 Mg/m³. The value obtained for the energy of formation from the pure elements is -34 kJ per mole of atoms. For the total magnetic moment, the calculation gives 0.00 μB per formula unit.